--- A ---
K2TaCr | Alexandria | GGA-PBEsol | relaxed; SG = Cmmm
1.0
1.537 -2.569 0.000
1.537 2.569 0.000
0.000 0.000 12.553
K Ta Cr
2 1 1
direct
0.000 0.000 0.245
0.000 0.000 0.755
0.500 0.500 0.500
0.500 0.500 0.000

---

--- B ---
K2TaCr | Alexandria | GGA-PBEsol | relaxed; SG = C2/m
1.0
10.690 -1.519 0.000
10.690 1.519 0.000
-0.696 0.000 3.869
K Ta Cr
2 1 1
direct
0.149 0.149 0.145
0.851 0.851 0.855
0.000 0.000 0.500
0.500 0.500 0.000

---

Computed energies relative to the best structure, in eV/atom: A 0.543; B 0.000

---

--- A ---
KTa2Cr | Alexandria | GGA-PBEsol | relaxed; SG = Immm
1.0
-1.408 2.763 5.157
1.408 -2.763 5.157
1.408 2.763 -5.157
K Ta Cr
1 2 1
direct
0.000 0.000 0.000
0.300 0.800 0.500
0.700 0.200 0.500
0.500 0.500 0.000

---

--- B ---
KTa2Cr | Alexandria | GGA-PBEsol | relaxed; SG = Cm
1.0
4.426 -1.437 0.000
4.426 1.437 0.000
-0.363 0.000 7.521
K Ta Cr
1 2 1
direct
0.000 0.000 0.000
0.232 0.232 0.641
0.496 0.496 0.476
0.760 0.760 0.346

---

Computed energies relative to the best structure, in eV/atom: A 0.119; B 0.000

---

--- A ---
KCrTe | Alexandria | GGA-PBEsol | relaxed; SG = P-6m2
1.0
4.689 0.000 0.000
-2.345 4.061 0.000
0.000 0.000 5.033
K Cr Te
1 1 1
direct
0.000 0.000 0.000
0.667 0.333 0.500
0.333 0.667 0.500

---

--- B ---
KCrTe | Alexandria | GGA-PBEsol | relaxed; SG = F-43m
1.0
0.000 3.662 3.662
3.662 0.000 3.662
3.662 3.662 0.000
K Cr Te
1 1 1
direct
0.000 0.000 0.000
0.250 0.250 0.250
0.750 0.750 0.750

---

--- C ---
KCrTe | Alexandria | GGA-PBEsol | relaxed; SG = I4mm
1.0
-1.957 1.957 6.164
1.957 -1.957 6.164
1.957 1.957 -6.164
K Cr Te
1 1 1
direct
0.000 0.000 0.000
0.265 0.265 0.000
0.721 0.721 0.000

---

Computed energies relative to the best structure, in eV/atom: A 0.000; B 0.762; C 0.183

---

--- A ---
KTl2Cr | Alexandria | GGA-PBEsol | relaxed; SG = R-3m
1.0
1.733 1.001 10.065
-1.733 1.001 10.065
0.000 -2.001 10.065
K Tl Cr
1 2 1
direct
0.000 0.000 0.000
0.236 0.236 0.236
0.764 0.764 0.764
0.500 0.500 0.500

---

--- B ---
KTl2Cr | Alexandria | GGA-PBEsol | relaxed; SG = I4/mmm
1.0
-2.618 2.618 3.696
2.618 -2.618 3.696
2.618 2.618 -3.696
K Tl Cr
1 2 1
direct
0.000 0.000 0.000
0.250 0.750 0.500
0.750 0.250 0.500
0.500 0.500 0.000

---

--- C ---
KTl2Cr | Alexandria | GGA-PBEsol | relaxed; SG = Pmm2
1.0
3.294 0.000 0.000
0.000 4.538 0.000
0.000 0.000 7.670
K Tl Cr
1 2 1
direct
0.000 0.000 0.000
0.500 0.000 0.582
0.500 0.500 0.287
0.000 0.500 0.607

---

Computed energies relative to the best structure, in eV/atom: A 0.026; B 0.050; C 0.000

---

--- A ---
KTlCr2 | Alexandria | GGA-PBEsol | relaxed; SG = C2/m
1.0
4.674 -1.625 0.000
4.674 1.625 0.000
-0.860 0.000 7.032
K Tl Cr
1 1 2
direct
0.000 0.000 0.000
0.500 0.500 0.500
0.232 0.232 0.662
0.768 0.768 0.338

---

--- B ---
KTlCr2 | Alexandria | GGA-PBEsol | relaxed; SG = F-43m
1.0
0.000 3.631 3.631
3.631 0.000 3.631
3.631 3.631 0.000
K Tl Cr
1 1 2
direct
0.000 0.000 0.000
0.750 0.750 0.750
0.250 0.250 0.250
0.500 0.500 0.500

---

--- C ---
KTlCr2 | Alexandria | GGA-PBEsol | relaxed; SG = I4/mmm
1.0
-2.477 2.477 3.496
2.477 -2.477 3.496
2.477 2.477 -3.496
K Tl Cr
1 1 2
direct
0.000 0.000 0.000
0.500 0.500 0.000
0.250 0.750 0.500
0.750 0.250 0.500

---

Computed energies relative to the best structure, in eV/atom: A 0.000; B 0.163; C 0.056

---

--- A ---
KCr2W | Alexandria | GGA-PBEsol | relaxed; SG = P4/mmm
1.0
5.073 0.000 0.000
0.000 5.073 0.000
0.000 0.000 2.806
K Cr W
1 2 1
direct
0.000 0.000 0.000
0.000 0.500 0.500
0.500 0.000 0.500
0.500 0.500 0.000

---

--- B ---
KCr2W | Alexandria | GGA-PBEsol | relaxed; SG = P2/m
1.0
2.727 0.000 0.000
0.000 4.123 0.000
-0.024 0.000 7.198
K Cr W
1 2 1
direct
0.000 0.000 0.000
0.111 0.500 0.368
0.889 0.500 0.632
0.500 0.000 0.500

---

Computed energies relative to the best structure, in eV/atom: A 0.647; B 0.000

---

--- A ---
KCr2W | Alexandria | GGA-PBEsol | relaxed; SG = P4mm
1.0
2.851 0.000 0.000
0.000 2.851 0.000
0.000 0.000 8.919
K Cr W
1 2 1
direct
0.000 0.000 0.000
0.000 0.000 0.538
0.500 0.500 0.676
0.500 0.500 0.349

---

--- B ---
KCr2W | Alexandria | GGA-PBEsol | relaxed; SG = P4/mmm
1.0
3.300 0.000 0.000
0.000 3.300 0.000
0.000 0.000 7.605
K Cr W
1 2 1
direct
0.000 0.000 0.000
0.500 0.500 0.368
0.500 0.500 0.632
0.000 0.000 0.500

---

Computed energies relative to the best structure, in eV/atom: A 0.039; B 0.000

---

--- A ---
KCrW2 | Alexandria | GGA-PBEsol | relaxed; SG = Cmmm
1.0
1.517 -2.249 0.000
1.517 2.249 0.000
0.000 0.000 10.217
K Cr W
1 1 2
direct
0.000 0.000 0.000
0.000 0.000 0.500
0.500 0.500 0.304
0.500 0.500 0.696

---

--- B ---
KCrW2 | Alexandria | GGA-PBEsol | relaxed; SG = Cmm2
1.0
1.540 -2.252 0.000
1.540 2.252 0.000
0.000 0.000 10.219
K Cr W
1 1 2
direct
0.000 0.000 0.000
0.500 0.500 0.709
0.000 0.000 0.521
0.500 0.500 0.303

---

--- C ---
KCrW2 | Alexandria | GGA-PBEsol | relaxed; SG = R-3m
1.0
1.431 0.826 10.040
-1.431 0.826 10.040
0.000 -1.652 10.040
K Cr W
1 1 2
direct
0.000 0.000 0.000
0.500 0.500 0.500
0.231 0.231 0.231
0.769 0.769 0.769

---

--- D ---
KCrW2 | Alexandria | GGA-PBEsol | relaxed; SG = Pmmm
1.0
2.817 0.000 0.000
0.000 3.601 0.000
0.000 0.000 8.274
K Cr W
1 1 2
direct
0.000 0.000 0.000
0.000 0.000 0.500
0.500 0.500 0.354
0.500 0.500 0.646

---

Computed energies relative to the best structure, in eV/atom: A 0.000; B 0.036; C 0.150; D 0.238